(1)
# Be2AlSi

Be2AlSi after structural relaxation (PBE-GGA, the Alexandria database).

Values from the calculation:
Fermi-level density of states ... 0.156 states/eV per atom
ΔE_f (raw) ... 0.326 eV/atom

a = 2.599 Å, b = 2.599 Å, c = 7.035 Å
α = 90.00°, β = 90.00°, γ = 89.98°
Atoms (fractional coordinates):
Al  0.500  0.500  0.750
Si  0.500  0.500  0.250
Be  0.000  0.000  0.007
Be  0.000  0.000  0.493

***

(2)
# Be2AlSi

Be2AlSi after structural relaxation (PBE-GGA, the Alexandria database).

Values from the calculation:
Fermi-level density of states ... 0.324 states/eV per atom
ΔE_f (raw) ... 0.301 eV/atom

a = 3.874 Å, b = 2.820 Å, c = 4.593 Å
α = 89.95°, β = 90.00°, γ = 90.00°
Atoms (fractional coordinates):
Be  0.000  0.250  0.510
Be  0.000  0.250  0.990
Al  0.500  0.750  0.750
Si  0.500  0.250  0.250

***

(3)
# Be2AlSi

Be2AlSi after structural relaxation (PBE-GGA, the Alexandria database).

Values from the calculation:
Fermi-level density of states ... 0.234 states/eV per atom
ΔE_f (raw) ... 0.279 eV/atom

a = 4.532 Å, b = 4.532 Å, c = 4.532 Å
α = 133.94°, β = 133.91°, γ = 67.20°
Atoms (fractional coordinates):
Be  0.998  0.998  0.000
Be  0.754  0.254  0.500
Al  0.249  0.749  0.500
Si  0.499  0.499  0.000

***

(4)
# Be2AlSi

Be2AlSi after structural relaxation (PBE-GGA, the Alexandria database).

Values from the calculation:
Fermi-level density of states ... 0.300 states/eV per atom
ΔE_f (raw) ... 0.265 eV/atom

a = 2.638 Å, b = 2.638 Å, c = 6.749 Å
α = 90.00°, β = 90.00°, γ = 90.00°
Atoms (fractional coordinates):
Al  0.500  0.500  0.783
Be  0.000  0.000  0.033
Be  0.500  0.500  0.224
Si  0.000  0.000  0.460